Compound: Ca2Al4GaPt3
Source: Alexandria via LeMat-Bulk
Functional: PBE
Structure: relaxed

ΔH_f (0 K) = -883.2 meV/atom

Lattice parameters (Å, degrees): 4.187 4.187 10.923 90.00 90.00 90.00
Positions (direct):
Ca1 0.500 0.000 0.249
Al1 0.000 0.500 0.362
Pt1 0.500 0.000 0.868
Ga1 0.500 0.500 0.500
Al2 0.000 0.000 0.000
Al3 0.500 0.000 0.638
Al4 0.500 0.500 0.000
Pt2 0.000 0.000 0.500
Ca2 0.000 0.500 0.751
Pt3 0.000 0.500 0.132

---

Compound: Li2CdPdCl
Source: Alexandria via LeMat-Bulk
Functional: PBE
Structure: relaxed

Formation energy without anion corrections = -36.7 kJ per mole of atoms

Lattice parameters (Å, degrees): 4.261 4.261 5.827 90.00 90.00 90.00
Positions (direct):
Li1 0.500 0.000 0.000
Li2 0.000 0.500 0.000
Cl1 0.000 0.000 0.000
Pd1 0.500 0.500 0.500
Cd1 0.000 0.000 0.500